# 1
ZrHgCl2 after structural relaxation. Source: Alexandria, functional PBE-GGA.

```
data_ZrHgCl2
_chemical_formula_sum 'Zr1 Hg1 Cl2'
_cell_length_a 3.2229
_cell_length_b 3.2229
_cell_length_c 9.9230
_cell_angle_alpha 90.00
_cell_angle_beta 90.00
_cell_angle_gamma 90.00
_symmetry_space_group_name_H-M 'P 1'
_symmetry_Int_Tables_number 1
loop_
_symmetry_equiv_pos_as_xyz
'x,y,z'
loop_
_atom_site_label
_atom_site_fract_x
_atom_site_fract_y
_atom_site_fract_z
_atom_site_occupancy
Zr1 0.0000 0.0000 0.0000 1
Hg1 0.0000 0.0000 0.5000 1
Cl1 0.5000 0.5000 0.1552 1
Cl2 0.5000 0.5000 0.8448 1
```

Results
Energy above the lowest structure with this stoichiometry ... 0.56 eV per formula unit
Uncorrected energy ... -16.5 eV/f.u.

=====

# 2
ZrHgCl3 after structural relaxation. Source: Alexandria, functional PBE-GGA.

```
data_ZrHgCl3
_chemical_formula_sum 'Zr1 Hg1 Cl3'
_cell_length_a 5.1117
_cell_length_b 5.1117
_cell_length_c 5.1117
_cell_angle_alpha 90.00
_cell_angle_beta 90.00
_cell_angle_gamma 90.00
_symmetry_space_group_name_H-M 'P 1'
_symmetry_Int_Tables_number 1
loop_
_symmetry_equiv_pos_as_xyz
'x,y,z'
loop_
_atom_site_label
_atom_site_fract_x
_atom_site_fract_y
_atom_site_fract_z
_atom_site_occupancy
Zr1 0.0000 0.0000 0.0000 1
Hg1 0.5000 0.5000 0.5000 1
Cl1 0.0000 0.0000 0.5000 1
Cl2 0.0000 0.5000 0.0000 1
Cl3 0.5000 0.0000 0.0000 1
```

Results
Energy above the lowest structure with this stoichiometry ... 0.71 eV per formula unit
Uncorrected energy ... -20.3 eV/f.u.

=====

# 3
ZrHgCl2 after structural relaxation. Source: Alexandria, functional PBE-GGA.

```
data_ZrHgCl2
_chemical_formula_sum 'Zr1 Hg1 Cl2'
_cell_length_a 3.5943
_cell_length_b 4.2760
_cell_length_c 6.5471
_cell_angle_alpha 90.00
_cell_angle_beta 103.85
_cell_angle_gamma 90.00
_symmetry_space_group_name_H-M 'P 1'
_symmetry_Int_Tables_number 1
loop_
_symmetry_equiv_pos_as_xyz
'x,y,z'
loop_
_atom_site_label
_atom_site_fract_x
_atom_site_fract_y
_atom_site_fract_z
_atom_site_occupancy
Zr1 0.0000 0.0000 0.0000 1
Hg1 0.5000 0.0000 0.5000 1
Cl1 0.1139 0.5000 0.7899 1
Cl2 0.8861 0.5000 0.2101 1
```

Results
Energy above the lowest structure with this stoichiometry ... 1.68 eV per formula unit
Uncorrected energy ... -15.4 eV/f.u.

=====

# 4
ZrHgCl2 after structural relaxation. Source: Alexandria, functional PBE-GGA.

```
data_ZrHgCl2
_chemical_formula_sum 'Zr1 Hg1 Cl2'
_cell_length_a 3.5960
_cell_length_b 3.5960
_cell_length_c 7.2581
_cell_angle_alpha 90.00
_cell_angle_beta 90.00
_cell_angle_gamma 90.00
_symmetry_space_group_name_H-M 'P 1'
_symmetry_Int_Tables_number 1
loop_
_symmetry_equiv_pos_as_xyz
'x,y,z'
loop_
_atom_site_label
_atom_site_fract_x
_atom_site_fract_y
_atom_site_fract_z
_atom_site_occupancy
Zr1 0.0000 0.0000 0.0000 1
Hg1 0.5000 0.5000 0.7054 1
Cl1 0.0000 0.0000 0.3451 1
Cl2 0.5000 0.5000 0.1148 1
```

Results
Energy above the lowest structure with this stoichiometry ... 1.51 eV per formula unit
Uncorrected energy ... -15.6 eV/f.u.

=====

# 5
ZrHgCl after structural relaxation. Source: Alexandria, functional PBE-GGA.

```
data_ZrHgCl
_chemical_formula_sum 'Zr1 Hg1 Cl1'
_cell_length_a 3.3548
_cell_length_b 3.3548
_cell_length_c 7.5982
_cell_angle_alpha 90.00
_cell_angle_beta 90.00
_cell_angle_gamma 120.00
_symmetry_space_group_name_H-M 'P 1'
_symmetry_Int_Tables_number 1
loop_
_symmetry_equiv_pos_as_xyz
'x,y,z'
loop_
_atom_site_label
_atom_site_fract_x
_atom_site_fract_y
_atom_site_fract_z
_atom_site_occupancy
Zr1 0.0000 0.0000 0.0000 1
Hg1 0.3333 0.6667 0.6936 1
Cl1 0.6667 0.3333 0.2342 1
```

Results
Energy above the lowest structure with this stoichiometry ... 0.00 eV per formula unit
Uncorrected energy ... -12.8 eV/f.u.

=====

# 6
ZrHgCl2 after structural relaxation. Source: Alexandria, functional PBE-GGA.

```
data_ZrHgCl2
_chemical_formula_sum 'Zr1 Hg1 Cl2'
_cell_length_a 11.1379
_cell_length_b 11.1379
_cell_length_c 11.1379
_cell_angle_alpha 17.31
_cell_angle_beta 17.31
_cell_angle_gamma 17.31
_symmetry_space_group_name_H-M 'P 1'
_symmetry_Int_Tables_number 1
loop_
_symmetry_equiv_pos_as_xyz
'x,y,z'
loop_
_atom_site_label
_atom_site_fract_x
_atom_site_fract_y
_atom_site_fract_z
_atom_site_occupancy
Zr1 0.0000 0.0000 0.0000 1
Hg1 0.5000 0.5000 0.5000 1
Cl1 0.2786 0.2786 0.2786 1
Cl2 0.7214 0.7214 0.7214 1
```

Results
Energy above the lowest structure with this stoichiometry ... 0.00 eV per formula unit
Uncorrected energy ... -17.1 eV/f.u.

=====

# 7
ZrHgCl2 after structural relaxation. Source: Alexandria, functional PBE-GGA.

```
data_ZrHgCl2
_chemical_formula_sum 'Zr1 Hg1 Cl2'
_cell_length_a 5.0062
_cell_length_b 5.0062
_cell_length_c 5.0062
_cell_angle_alpha 60.00
_cell_angle_beta 60.00
_cell_angle_gamma 60.00
_symmetry_space_group_name_H-M 'P 1'
_symmetry_Int_Tables_number 1
loop_
_symmetry_equiv_pos_as_xyz
'x,y,z'
loop_
_atom_site_label
_atom_site_fract_x
_atom_site_fract_y
_atom_site_fract_z
_atom_site_occupancy
Zr1 0.0000 0.0000 0.0000 1
Hg1 0.5000 0.5000 0.5000 1
Cl1 0.2500 0.2500 0.2500 1
Cl2 0.7500 0.7500 0.7500 1
```

Results
Energy above the lowest structure with this stoichiometry ... 3.06 eV per formula unit
Uncorrected energy ... -14.0 eV/f.u.

=====

# 8
ZrHgCl2 after structural relaxation. Source: Alexandria, functional PBE-GGA.

```
data_ZrHgCl2
_chemical_formula_sum 'Zr1 Hg1 Cl2'
_cell_length_a 5.9527
_cell_length_b 5.9527
_cell_length_c 6.9585
_cell_angle_alpha 114.68
_cell_angle_beta 114.68
_cell_angle_gamma 32.09
_symmetry_space_group_name_H-M 'P 1'
_symmetry_Int_Tables_number 1
loop_
_symmetry_equiv_pos_as_xyz
'x,y,z'
loop_
_atom_site_label
_atom_site_fract_x
_atom_site_fract_y
_atom_site_fract_z
_atom_site_occupancy
Zr1 0.0000 0.0000 0.0000 1
Hg1 0.2677 0.2677 0.0002 1
Cl1 0.4558 0.4558 0.6930 1
Cl2 0.6177 0.6177 0.3073 1
```

Results
Energy above the lowest structure with this stoichiometry ... 0.51 eV per formula unit
Uncorrected energy ... -16.6 eV/f.u.

=====

Question: Among the records above, which one has the highest energy above the lowest structure with this stoichiometry?
Answer: number 7

=====

Question: Among the records above, which one has the highest energy above the lowest structure with this stoichiometry?
Answer: number 7

=====

Question: Which formula does entry 4 have?
Answer: ZrHgCl2

=====

Question: Among the records above, which one has the highest energy above the lowest structure with this stoichiometry?
Answer: number 7